VASP calculation (meta-GGA SCAN) on a crystal of Fe2IrOs relaxed with PBEsol.

Cell: 3.9156 2.6051 9.4189 Å, 90.00 90.00 90.00°
Space group Amm2 (No. 38)
Asymmetric unit:
Fe 0.0000 0.0000 0.0000 [2 per cell]
Fe 0.5000 0.0000 0.1301 [2 per cell]
Ir 0.5000 0.0000 0.3956 [2 per cell]
Os 0.0000 0.0000 0.7324 [2 per cell]

Calculated total energy (eV/atom): -44.67

VASP calculation (meta-GGA SCAN) on a crystal of BaSiOs4 relaxed with PBEsol.

Cell: 7.5460 7.5460 7.5460 Å, 90.00 90.00 90.00°
Space group F-43m (No. 216)
Asymmetric unit:
Ba 0.0000 0.0000 0.0000 [4 per cell]
Si 0.2500 0.2500 0.7500 [4 per cell]
Os 0.1237 0.1237 0.3763 [16 per cell]

Calculated total energy (eV/atom): -55.07